VASP calculation (PBE) on an optimized crystal structure of Ca2Co3.

As for the density of states at the Fermi level: 4.4 states/eV/f.u. The calculation puts the calculated volume at 20.62 Å³/atom. Its total energy is -4.663 eV/atom.

The space group is R-3m (No. 166, hexagonal axes) and the conventional cell measures 3.8018, 3.8018 and 24.7048 Å, with angles of 90.00, 90.00 and 120.00 degrees. Symmetry generates all atoms from Ca at (0.0000, 0.0000, 0.0868), Co at (0.0000, 0.0000, 0.3356) and Co at (0.0000, 0.0000, 0.5000).